Density functional theory data (PBE) for a relaxed MnCl7 crystal.

Cell and atoms, written as POSCAR:
```
MnCl7
1.0
0.0000 4.3743 4.3743
4.3743 0.0000 4.3743
4.3743 4.3743 0.0000
Mn Cl
1 7
Direct
0.0000 0.0000 0.0000
0.0000 0.0000 0.5000
0.0000 0.5000 0.0000
0.0000 0.5000 0.5000
0.5000 0.0000 0.0000
0.5000 0.0000 0.5000
0.5000 0.5000 0.0000
0.5000 0.5000 0.5000
```

Results
Its space-group type is No. 225. As for the formation energy (no corrections): 0.49 eV/atom.